Entry 1:
## Zr2MoCl (GGA-PBE)

Data for an optimized crystal structure of Zr2MoCl.

raw formation energy: -0.458 eV/atom

```
data_Zr2MoCl
_space_group_name_H-M_alt 'P 1'
_space_group_IT_number 1
_cell_length_a 3.340
_cell_length_b 3.340
_cell_length_c 8.347
_cell_angle_alpha 95.61
_cell_angle_beta 95.61
_cell_angle_gamma 88.45
loop_
_space_group_symop_operation_xyz
'x,y,z'
loop_
_atom_site_label
_atom_site_fract_x
_atom_site_fract_y
_atom_site_fract_z
_atom_site_occupancy
Zr1 0.039 0.039 0.195 1
Zr2 0.961 0.961 0.805 1
Mo1 0.500 0.500 0.000 1
Cl1 0.000 0.000 0.500 1
```

Entry 2:
## NpCuSiO6 (GGA-PBE)

Data for an optimized crystal structure of NpCuSiO6.

raw formation energy: -2.011 eV/atom

```
data_NpCuSiO6
_space_group_name_H-M_alt 'P 1'
_space_group_IT_number 1
_cell_length_a 5.116
_cell_length_b 5.116
_cell_length_c 8.932
_cell_angle_alpha 90.00
_cell_angle_beta 90.00
_cell_angle_gamma 120.00
loop_
_space_group_symop_operation_xyz
'x,y,z'
loop_
_atom_site_label
_atom_site_fract_x
_atom_site_fract_y
_atom_site_fract_z
_atom_site_occupancy
Np1 0.333 0.667 0.250 1
Np2 0.667 0.333 0.750 1
Cu1 0.000 0.000 0.000 1
Cu2 0.000 0.000 0.500 1
Si1 0.333 0.667 0.750 1
Si2 0.667 0.333 0.250 1
O1 0.037 0.374 0.637 1
O2 0.037 0.663 0.863 1
O3 0.337 0.374 0.863 1
O4 0.337 0.963 0.637 1
O5 0.374 0.037 0.137 1
O6 0.374 0.337 0.363 1
O7 0.626 0.663 0.637 1
O8 0.626 0.963 0.863 1
O9 0.663 0.037 0.363 1
O10 0.663 0.626 0.137 1
O11 0.963 0.337 0.137 1
O12 0.963 0.626 0.363 1
```

Entry 3:
## KBaAu3 (GGA-PBE)

Data for an optimized crystal structure of KBaAu3.

raw total energy: -31.272 eV per cell

```
data_KBaAu3
_space_group_name_H-M_alt 'P 1'
_space_group_IT_number 1
_cell_length_a 14.677
_cell_length_b 14.677
_cell_length_c 4.897
_cell_angle_alpha 90.00
_cell_angle_beta 90.00
_cell_angle_gamma 163.06
loop_
_space_group_symop_operation_xyz
'x,y,z'
loop_
_atom_site_label
_atom_site_fract_x
_atom_site_fract_y
_atom_site_fract_z
_atom_site_occupancy
K1 0.208 0.792 0.750 1
K2 0.792 0.208 0.250 1
Ba1 0.074 0.926 0.250 1
Ba2 0.926 0.074 0.750 1
Au1 0.331 0.669 0.750 1
Au2 0.380 0.620 0.250 1
Au3 0.477 0.523 0.250 1
Au4 0.523 0.477 0.750 1
Au5 0.620 0.380 0.750 1
Au6 0.669 0.331 0.250 1
```

Entry 4:
## Cr2MoP (GGA-PBE)

Data for an optimized crystal structure of Cr2MoP.

raw total energy: -35.292 eV per cell

```
data_Cr2MoP
_space_group_name_H-M_alt 'P 1'
_space_group_IT_number 1
_cell_length_a 2.704
_cell_length_b 2.704
_cell_length_c 7.463
_cell_angle_alpha 90.00
_cell_angle_beta 90.00
_cell_angle_gamma 109.25
loop_
_space_group_symop_operation_xyz
'x,y,z'
loop_
_atom_site_label
_atom_site_fract_x
_atom_site_fract_y
_atom_site_fract_z
_atom_site_occupancy
Cr1 0.000 0.000 0.222 1
Cr2 0.000 0.000 0.778 1
Mo1 0.500 0.500 0.500 1
P1 0.500 0.500 0.000 1
```

Entry 5:
## BiTePd2 (GGA-PBE)

Data for an optimized crystal structure of BiTePd2.

raw formation energy: -0.227 eV/atom

```
data_BiTePd2
_space_group_name_H-M_alt 'P 1'
_space_group_IT_number 1
_cell_length_a 4.919
_cell_length_b 4.919
_cell_length_c 4.919
_cell_angle_alpha 60.00
_cell_angle_beta 60.00
_cell_angle_gamma 60.00
loop_
_space_group_symop_operation_xyz
'x,y,z'
loop_
_atom_site_label
_atom_site_fract_x
_atom_site_fract_y
_atom_site_fract_z
_atom_site_occupancy
Bi1 0.000 0.000 0.000 1
Te1 0.500 0.500 0.500 1
Pd1 0.250 0.250 0.250 1
Pd2 0.750 0.750 0.750 1
```

Entry 6:
## Zr2NbN3 (GGA-PBE)

Data for an optimized crystal structure of Zr2NbN3.

raw formation energy: -1.416 eV/atom

```
data_Zr2NbN3
_space_group_name_H-M_alt 'P 1'
_space_group_IT_number 1
_cell_length_a 5.579
_cell_length_b 5.579
_cell_length_c 5.579
_cell_angle_alpha 146.31
_cell_angle_beta 131.74
_cell_angle_gamma 60.15
loop_
_space_group_symop_operation_xyz
'x,y,z'
loop_
_atom_site_label
_atom_site_fract_x
_atom_site_fract_y
_atom_site_fract_z
_atom_site_occupancy
Zr1 0.163 0.163 0.000 1
Zr2 0.837 0.837 0.000 1
Nb1 0.500 0.500 0.000 1
N1 0.000 0.500 0.500 1
N2 0.332 0.832 0.500 1
N3 0.668 0.168 0.500 1
```

Entry 7:
## CaScRe2 (GGA-PBE)

Data for an optimized crystal structure of CaScRe2.

raw total energy: -31.139 eV per cell

```
data_CaScRe2
_space_group_name_H-M_alt 'P 1'
_space_group_IT_number 1
_cell_length_a 5.567
_cell_length_b 5.567
_cell_length_c 2.785
_cell_angle_alpha 98.57
_cell_angle_beta 98.57
_cell_angle_gamma 118.98
loop_
_space_group_symop_operation_xyz
'x,y,z'
loop_
_atom_site_label
_atom_site_fract_x
_atom_site_fract_y
_atom_site_fract_z
_atom_site_occupancy
Ca1 0.000 0.000 0.000 1
Sc1 0.500 0.500 0.000 1
Re1 0.000 0.500 0.500 1
Re2 0.500 0.000 0.500 1
```

Entry 8:
## Er2Tm5 (GGA-PBE)

Data for an optimized crystal structure of Er2Tm5.

raw total energy: -63.006 eV per cell

```
data_Er2Tm5
_space_group_name_H-M_alt 'P 1'
_space_group_IT_number 1
_cell_length_a 10.923
_cell_length_b 10.923
_cell_length_c 6.572
_cell_angle_alpha 90.97
_cell_angle_beta 90.97
_cell_angle_gamma 32.80
loop_
_space_group_symop_operation_xyz
'x,y,z'
loop_
_atom_site_label
_atom_site_fract_x
_atom_site_fract_y
_atom_site_fract_z
_atom_site_occupancy
Er1 0.012 0.845 0.892 1
Er2 0.155 0.988 0.608 1
Er3 0.845 0.012 0.392 1
Er4 0.988 0.155 0.108 1
Tm1 0.131 0.298 0.822 1
Tm2 0.274 0.440 0.535 1
Tm3 0.298 0.131 0.322 1
Tm4 0.417 0.583 0.250 1
Tm5 0.440 0.274 0.035 1
Tm6 0.560 0.726 0.965 1
Tm7 0.583 0.417 0.750 1
Tm8 0.702 0.869 0.678 1
Tm9 0.726 0.560 0.465 1
Tm10 0.869 0.702 0.178 1
```

Entry 9:
## Y2ErHf3N6 (GGA-PBE)

Data for an optimized crystal structure of Y2ErHf3N6.

raw formation energy: -1.794 eV/atom

```
data_Y2ErHf3N6
_space_group_name_H-M_alt 'P 1'
_space_group_IT_number 1
_cell_length_a 7.454
_cell_length_b 7.454
_cell_length_c 6.667
_cell_angle_alpha 103.77
_cell_angle_beta 103.77
_cell_angle_gamma 25.60
loop_
_space_group_symop_operation_xyz
'x,y,z'
loop_
_atom_site_label
_atom_site_fract_x
_atom_site_fract_y
_atom_site_fract_z
_atom_site_occupancy
Y1 0.167 0.167 0.333 1
Y2 0.833 0.833 0.667 1
Er1 0.500 0.500 0.000 1
Hf1 0.166 0.166 0.833 1
Hf2 0.500 0.500 0.500 1
Hf3 0.834 0.834 0.167 1
N1 0.006 0.006 0.739 1
N2 0.329 0.329 0.932 1
N3 0.339 0.339 0.402 1
N4 0.661 0.661 0.598 1
N5 0.671 0.671 0.068 1
N6 0.994 0.994 0.261 1
```

Entry 10:
## Hg2WSe (GGA-PBE)

Data for an optimized crystal structure of Hg2WSe.

raw formation energy: 0.749 eV/atom

```
data_Hg2WSe
_space_group_name_H-M_alt 'P 1'
_space_group_IT_number 1
_cell_length_a 10.978
_cell_length_b 10.978
_cell_length_c 10.978
_cell_angle_alpha 15.56
_cell_angle_beta 15.56
_cell_angle_gamma 15.56
loop_
_space_group_symop_operation_xyz
'x,y,z'
loop_
_atom_site_label
_atom_site_fract_x
_atom_site_fract_y
_atom_site_fract_z
_atom_site_occupancy
Hg1 0.241 0.241 0.241 1
Hg2 0.759 0.759 0.759 1
W1 0.500 0.500 0.500 1
Se1 0.000 0.000 0.000 1
```

Entry 11:
## Sm15Tm2Sc2 (GGA-PBE)

Data for an optimized crystal structure of Sm15Tm2Sc2.

raw total energy: -86.905 eV per cell

```
data_Sm15Tm2Sc2
_space_group_name_H-M_alt 'P 1'
_space_group_IT_number 1
_cell_length_a 8.754
_cell_length_b 8.754
_cell_length_c 8.754
_cell_angle_alpha 78.61
_cell_angle_beta 78.61
_cell_angle_gamma 78.61
loop_
_space_group_symop_operation_xyz
'x,y,z'
loop_
_atom_site_label
_atom_site_fract_x
_atom_site_fract_y
_atom_site_fract_z
_atom_site_occupancy
Sm1 0.000 0.000 0.500 1
Sm2 0.000 0.293 0.707 1
Sm3 0.000 0.500 0.000 1
Sm4 0.000 0.707 0.293 1
Sm5 0.154 0.621 0.621 1
Sm6 0.293 0.000 0.707 1
Sm7 0.293 0.707 0.000 1
Sm8 0.379 0.379 0.846 1
Sm9 0.379 0.846 0.379 1
Sm10 0.500 0.000 0.000 1
Sm11 0.621 0.154 0.621 1
Sm12 0.621 0.621 0.154 1
Sm13 0.707 0.000 0.293 1
Sm14 0.707 0.293 0.000 1
Sm15 0.846 0.379 0.379 1
Tm1 0.311 0.311 0.311 1
Tm2 0.689 0.689 0.689 1
Sc1 0.089 0.089 0.089 1
Sc2 0.911 0.911 0.911 1
```

Entry 12:
## Rb2MgPdBr (GGA-PBE)

Data for an optimized crystal structure of Rb2MgPdBr.

raw formation energy: 0.179 eV/atom

```
data_Rb2MgPdBr
_space_group_name_H-M_alt 'P 1'
_space_group_IT_number 1
_cell_length_a 7.054
_cell_length_b 7.054
_cell_length_c 5.187
_cell_angle_alpha 90.00
_cell_angle_beta 90.00
_cell_angle_gamma 90.00
loop_
_space_group_symop_operation_xyz
'x,y,z'
loop_
_atom_site_label
_atom_site_fract_x
_atom_site_fract_y
_atom_site_fract_z
_atom_site_occupancy
Rb1 0.000 0.500 0.000 1
Rb2 0.500 0.000 0.000 1
Mg1 0.000 0.000 0.000 1
Pd1 0.500 0.500 0.500 1
Br1 0.000 0.000 0.500 1
```

| no. | mass density (g/cm3) |
| --- | --- |
| 1 | 5.65 |
| 2 | 6.97 |
| 3 | 8.29 |
| 4 | 7.44 |
| 5 | 10.84 |
| 6 | 7.40 |
| 7 | 10.53 |
| 8 | 9.22 |
| 9 | 10.32 |
| 10 | 13.29 |
| 11 | 7.01 |
| 12 | 2.45 |